Run A
First-principles (PBE) data for a relaxed structure of GdCuSnTe3, as listed in the Open Quantum Materials Database.

Cell and atoms, written as POSCAR:
```
GdCuSnTe3
1.0
-3.574 -3.977 11.163
2.195 -3.752 -0.634
10.144 5.081 5.057
Cu Gd Sn Te
4 4 4 12
direct
0.233 0.750 0.201
0.733 0.750 0.299
0.267 0.250 0.701
0.767 0.250 0.799
0.531 0.250 0.191
0.031 0.250 0.309
0.969 0.750 0.691
0.469 0.750 0.809
0.202 0.250 0.032
0.702 0.250 0.468
0.298 0.750 0.532
0.798 0.750 0.968
0.399 0.750 0.060
0.034 0.750 0.129
0.784 0.250 0.189
0.284 0.250 0.311
0.534 0.750 0.371
0.899 0.750 0.440
0.101 0.250 0.560
0.466 0.250 0.629
0.716 0.750 0.689
0.216 0.750 0.811
0.966 0.250 0.871
0.601 0.250 0.940
```

***

Run B
First-principles (PBE) data for a relaxed structure of GdCuSnTe3, as listed in the Open Quantum Materials Database.

Cell and atoms, written as POSCAR:
```
GdCuSnTe3
1.0
-1.069 11.059 1.765
0.585 -0.611 4.183
14.298 1.662 -1.756
Cu Gd Sn Te
4 4 4 12
direct
0.260 0.750 0.223
0.760 0.750 0.277
0.240 0.250 0.723
0.740 0.250 0.777
0.022 0.250 0.241
0.522 0.250 0.259
0.478 0.750 0.741
0.978 0.750 0.759
0.284 0.250 0.009
0.784 0.250 0.491
0.216 0.750 0.509
0.716 0.750 0.991
0.091 0.750 0.098
0.452 0.750 0.110
0.766 0.250 0.164
0.266 0.250 0.336
0.952 0.750 0.390
0.591 0.750 0.402
0.409 0.250 0.598
0.048 0.250 0.610
0.734 0.750 0.664
0.234 0.750 0.836
0.548 0.250 0.890
0.909 0.250 0.902
```

***

Least stable = run A

***

Run A
First-principles (PBE) data for a relaxed structure of GdCuSnTe3, as listed in the Open Quantum Materials Database.

Cell and atoms, written as POSCAR:
```
GdCuSnTe3
1.0
14.528 0.000 0.000
0.000 4.271 0.000
0.000 0.000 11.709
Cu Gd Sn Te
4 4 4 12
direct
0.993 0.750 0.082
0.493 0.750 0.418
0.507 0.250 0.582
0.007 0.250 0.918
0.493 0.250 0.173
0.993 0.250 0.327
0.007 0.750 0.673
0.507 0.750 0.827
0.790 0.250 0.051
0.290 0.250 0.449
0.710 0.750 0.551
0.210 0.750 0.949
0.617 0.750 0.057
0.109 0.250 0.110
0.856 0.750 0.238
0.356 0.750 0.262
0.609 0.250 0.390
0.117 0.750 0.443
0.883 0.250 0.557
0.391 0.750 0.610
0.644 0.250 0.738
0.144 0.250 0.762
0.891 0.750 0.890
0.383 0.250 0.943
```

***

Run B
First-principles (PBE) data for a relaxed structure of GdCuSnTe3, as listed in the Open Quantum Materials Database.

Cell and atoms, written as POSCAR:
```
GdCuSnTe3
1.0
8.901 0.000 0.000
0.000 4.453 0.000
0.000 0.000 17.296
Cu Gd Sn Te
4 4 4 12
direct
0.875 0.750 0.128
0.375 0.750 0.372
0.625 0.250 0.628
0.125 0.250 0.872
0.251 0.750 0.038
0.751 0.750 0.462
0.249 0.250 0.538
0.749 0.250 0.962
0.581 0.250 0.225
0.081 0.250 0.275
0.919 0.750 0.725
0.419 0.750 0.775
0.613 0.750 0.064
0.019 0.250 0.097
0.310 0.750 0.220
0.810 0.750 0.280
0.519 0.250 0.403
0.113 0.750 0.436
0.887 0.250 0.564
0.481 0.750 0.597
0.190 0.250 0.720
0.690 0.250 0.780
0.981 0.750 0.903
0.387 0.250 0.936
```

***

Least stable = run B

***

Run A
First-principles (PBE) data for a relaxed structure of GdCuSnTe3, as listed in the Open Quantum Materials Database.

Cell and atoms, written as POSCAR:
```
GdCuSnTe3
1.0
7.266 -2.128 0.000
7.266 2.128 0.000
0.000 0.000 11.219
Cu Gd Sn Te
2 2 2 6
direct
0.470 0.470 0.250
0.530 0.530 0.750
0.000 0.000 0.000
0.000 0.000 0.500
0.764 0.764 0.250
0.236 0.236 0.750
0.354 0.354 0.068
0.086 0.086 0.250
0.354 0.354 0.432
0.646 0.646 0.568
0.914 0.914 0.750
0.646 0.646 0.932
```

***

Run B
First-principles (PBE) data for a relaxed structure of GdCuSnTe3, as listed in the Open Quantum Materials Database.

Cell and atoms, written as POSCAR:
```
GdCuSnTe3
1.0
9.963 -2.146 0.000
9.963 2.146 0.000
-1.884 0.000 8.397
Cu Gd Sn Te
2 2 2 6
direct
0.546 0.546 0.207
0.454 0.454 0.793
0.159 0.159 0.083
0.841 0.841 0.917
0.880 0.880 0.434
0.120 0.120 0.566
0.000 0.000 0.000
0.322 0.322 0.161
0.677 0.677 0.342
0.500 0.500 0.500
0.323 0.323 0.658
0.678 0.678 0.839
```

***

Run C
First-principles (PBE) data for a relaxed structure of GdCuSnTe3, as listed in the Open Quantum Materials Database.

Cell and atoms, written as POSCAR:
```
GdCuSnTe3
1.0
8.380 0.000 0.000
0.000 4.265 0.000
-2.734 0.000 10.116
Cu Gd Sn Te
2 2 2 6
direct
0.925 0.750 0.414
0.075 0.250 0.586
0.699 0.250 0.169
0.301 0.750 0.831
0.250 0.250 0.299
0.750 0.750 0.701
0.422 0.750 0.142
0.961 0.750 0.169
0.746 0.250 0.467
0.254 0.750 0.533
0.039 0.250 0.831
0.578 0.250 0.858
```

***

Least stable = run B

***

Run A
First-principles (PBE) data for a relaxed structure of GdYCu2, as listed in the Open Quantum Materials Database.

Cell and atoms, written as POSCAR:
```
GdYCu2
1.0
4.503 0.000 0.000
0.000 1.876 5.171
0.000 -1.876 5.171
Cu Gd Y
2 1 1
direct
0.000 0.071 0.071
0.500 0.929 0.929
0.000 0.360 0.360
0.500 0.640 0.640
```

***

Run B
First-principles (PBE) data for a relaxed structure of GdYCu2, as listed in the Open Quantum Materials Database.

Cell and atoms, written as POSCAR:
```
GdYCu2
1.0
-1.765 3.725 -1.638
-3.241 0.374 4.342
4.988 3.855 3.391
Cu Gd Y
4 2 2
direct
0.500 0.625 0.035
0.000 0.127 0.466
0.500 0.375 0.535
0.000 0.873 0.966
0.500 0.119 0.180
0.500 0.881 0.680
0.000 0.618 0.319
0.000 0.382 0.819
```

***

Least stable = run A

***

Run A
First-principles (PBE) data for a relaxed structure of GdZrCu, as listed in the Open Quantum Materials Database.

Cell and atoms, written as POSCAR:
```
GdZrCu
1.0
-3.720 -0.542 2.709
-4.157 -0.765 -1.898
-1.994 -4.164 0.391
Cu Gd Zr
1 1 1
direct
0.250 0.250 0.250
0.000 0.000 0.000
0.750 0.750 0.750
```

***

Run B
First-principles (PBE) data for a relaxed structure of GdZrCu, as listed in the Open Quantum Materials Database.

Cell and atoms, written as POSCAR:
```
GdZrCu
1.0
2.389 -2.192 3.371
-1.041 -4.423 1.106
2.966 -3.445 -1.098
Cu Gd Zr
1 1 1
direct
0.000 0.000 0.000
0.250 0.250 0.250
0.750 0.750 0.750
```

***

Least stable = run A

***

Run A
First-principles (PBE) data for a relaxed structure of Cu9Ge, as listed in the Open Quantum Materials Database.

Cell and atoms, written as POSCAR:
```
Cu9Ge
1.0
-2.324 1.027 -0.260
-1.077 -1.691 2.944
9.655 26.611 18.823
Cu Ge
18 2
direct
0.000 0.000 0.019
0.500 0.500 0.058
0.000 0.000 0.096
0.500 0.500 0.135
0.000 0.000 0.173
0.500 0.500 0.212
0.000 0.000 0.250
0.500 0.500 0.289
0.000 0.000 0.327
0.500 0.500 0.673
0.000 0.000 0.711
0.500 0.500 0.750
0.000 0.000 0.788
0.500 0.500 0.827
0.000 0.000 0.865
0.500 0.500 0.904
0.000 0.000 0.942
0.500 0.500 0.981
0.500 0.500 0.369
0.000 0.000 0.631
```

***

Run B
First-principles (PBE) data for a relaxed structure of Cu9Ge, as listed in the Open Quantum Materials Database.

Cell and atoms, written as POSCAR:
```
Cu9Ge
1.0
-2.096 -0.398 -1.451
-0.761 -1.866 1.611
-24.557 32.853 26.457
Cu Ge
18 2
direct
0.500 0.000 0.188
0.000 0.500 0.226
0.500 0.000 0.263
0.000 0.500 0.300
0.500 0.000 0.336
0.000 0.500 0.373
0.500 0.000 0.409
0.000 0.500 0.446
0.500 0.000 0.482
0.000 0.500 0.518
0.500 0.000 0.554
0.000 0.500 0.591
0.500 0.000 0.627
0.000 0.500 0.664
0.500 0.000 0.700
0.000 0.500 0.737
0.500 0.000 0.774
0.000 0.500 0.812
0.000 0.500 0.146
0.500 0.000 0.854
```

***

Least stable = run A

***

Run A
First-principles (PBE) data for a relaxed structure of HfCuHgGe, as listed in the Open Quantum Materials Database.

Cell and atoms, written as POSCAR:
```
HfCuHgGe
1.0
-3.841 1.248 2.480
-0.689 4.539 1.178
-3.457 2.489 -2.077
Cu Ge Hf Hg
1 1 1 1
direct
0.750 0.750 0.750
0.000 0.000 0.000
0.500 0.500 0.500
0.250 0.250 0.250
```

***

Run B
First-principles (PBE) data for a relaxed structure of HfCuHgGe, as listed in the Open Quantum Materials Database.

Cell and atoms, written as POSCAR:
```
HfCuHgGe
1.0
0.075 -4.540 -1.175
-2.458 -3.112 2.505
-3.816 -2.008 -1.847
Cu Ge Hf Hg
1 1 1 1
direct
0.750 0.750 0.750
0.000 0.000 0.000
0.250 0.250 0.250
0.500 0.500 0.500
```

***

Least stable = run A

***

Run A
First-principles (PBE) data for a relaxed structure of LiHfCuGe, as listed in the Open Quantum Materials Database.

Cell and atoms, written as POSCAR:
```
LiHfCuGe
1.0
3.164 -1.484 2.652
2.253 2.805 2.510
-0.593 0.018 4.346
Cu Ge Hf Li
1 1 1 1
direct
0.750 0.750 0.750
0.000 0.000 0.000
0.500 0.500 0.500
0.250 0.250 0.250
```

***

Run B
First-principles (PBE) data for a relaxed structure of LiHfCuGe, as listed in the Open Quantum Materials Database.

Cell and atoms, written as POSCAR:
```
LiHfCuGe
1.0
-0.391 1.130 4.270
-2.961 3.067 1.220
-3.609 -1.188 2.287
Cu Ge Hf Li
1 1 1 1
direct
0.750 0.750 0.750
0.000 0.000 0.000
0.250 0.250 0.250
0.500 0.500 0.500
```

***

Least stable = run A

***

Run A
First-principles (PBE) data for a relaxed structure of HfMgCuGe, as listed in the Open Quantum Materials Database.

Cell and atoms, written as POSCAR:
```
HfMgCuGe
1.0
0.000 3.290 3.290
3.290 0.000 3.290
3.290 3.290 0.000
Cu Ge Hf Mg
1 1 1 1
direct
0.750 0.750 0.750
0.000 0.000 0.000
0.500 0.500 0.500
0.250 0.250 0.250
```

***

Run B
First-principles (PBE) data for a relaxed structure of HfMgCuGe, as listed in the Open Quantum Materials Database.

Cell and atoms, written as POSCAR:
```
HfMgCuGe
1.0
0.707 -1.847 4.171
1.904 2.536 3.354
-2.555 1.367 3.593
Cu Ge Hf Mg
1 1 1 1
direct
0.750 0.750 0.750
0.000 0.000 0.000
0.250 0.250 0.250
0.500 0.500 0.500
```

***

Least stable = run A

***

Run A
First-principles (PBE) data for a relaxed structure of HfCuTcGe, as listed in the Open Quantum Materials Database.

Cell and atoms, written as POSCAR:
```
HfCuTcGe
1.0
0.000 3.140 3.140
3.140 0.000 3.140
3.140 3.140 0.000
Cu Ge Hf Tc
1 1 1 1
direct
0.750 0.750 0.750
0.000 0.000 0.000
0.500 0.500 0.500
0.250 0.250 0.250
```

***

Run B
First-principles (PBE) data for a relaxed structure of HfCuTcGe, as listed in the Open Quantum Materials Database.

Cell and atoms, written as POSCAR:
```
HfCuTcGe
1.0
-1.784 1.435 3.873
-0.023 4.392 0.976
-3.874 2.289 -0.019
Cu Ge Hf Tc
1 1 1 1
direct
0.750 0.750 0.750
0.000 0.000 0.000
0.250 0.250 0.250
0.500 0.500 0.500
```

***

Least stable = run B